A crystal of CaF2 relaxed with PBEsol. Source: Alexandria via LeMat-Bulk, functional meta-GGA SCAN.

The offset from the most stable computed form is 35 meV/atom. The value obtained for the size of the total moment is 0.00 μB per cell.

Unit cell a=5.906 b=3.561 c=6.948 alpha=90.00 beta=90.00 gamma=90.00
Space group Pnma (No. 62)
One atom of each set of equivalent atoms:
1 Ca 0.250 0.250 0.109 (multiplicity 4)
2 F 0.019 0.250 0.836 (multiplicity 4)
3 F 0.142 0.250 0.425 (multiplicity 4)